[1]
Entry from Alexandria: an optimized crystal structure of TaBi2IrW (PBE).

Unit cell a=5.365 b=5.365 c=4.855 alpha=90.00 beta=90.00 gamma=90.00
Atoms (fractional coordinates):
Ta 0.000 0.000 0.000
Bi 0.000 0.500 0.000
Bi 0.500 0.000 0.000
Ir 0.000 0.000 0.500
W 0.500 0.500 0.500

Results
magnetization = 3.58 Bohr magnetons per cell
DFT formation energy = 1878 meV per atom

---

[2]
Entry from Alexandria: an optimized crystal structure of Zn2Ni2Bi (PBE).

Unit cell a=6.669 b=6.669 c=6.669 alpha=148.60 beta=148.60 gamma=45.00
Atoms (fractional coordinates):
Zn 0.250 0.750 0.500
Zn 0.750 0.250 0.500
Ni 0.104 0.104 0.000
Ni 0.896 0.896 0.000
Bi 0.500 0.500 0.000

Results
magnetization = 0.00 Bohr magnetons per cell
energy above the lowest structure with this stoichiometry = 0.0 meV/atom
DFT formation energy = 30 meV per atom